Here is a relaxed structure of Ac6SiPd2Br3 from Alexandria. Energies are from PBE.

Summary:
ΔE_f (raw) = -1022 meV/atom

```
data_Ac6SiPd2Br3
_cell_length_a 7.8318
_cell_length_b 13.5258
_cell_length_c 8.2545
_cell_angle_alpha 90.00
_cell_angle_beta 108.42
_cell_angle_gamma 90.00
_space_group_name_H-M_alt 'C 1 2/m 1'
_space_group_IT_number 12
loop_
_space_group_symop_operation_xyz
'x,y,z'
'-x,-y,-z'
'-x,y,-z'
'x,-y,z'
'x+1/2,y+1/2,z'
'-x+1/2,-y+1/2,-z'
'-x+1/2,y+1/2,-z'
'x+1/2,-y+1/2,z'
loop_
_atom_site_label
_atom_site_type_symbol
_atom_site_fract_x
_atom_site_fract_y
_atom_site_fract_z
Ac1 Ac 0.2321 0.0000 0.2093
Ac2 Ac 0.2393 0.3312 0.2113
Si1 Si 0.0000 0.5000 0.0000
Pd1 Pd 0.0000 0.1673 0.0000
Br1 Br 0.0000 0.0000 0.5000
Br2 Br 0.0000 0.3414 0.5000
```

***

Here is a relaxed structure of Ca2LaZn from Alexandria. Energies are from PBE.

Summary:
Formation energy from the elements = 0 meV/atom

```
data_Ca2LaZn
_cell_length_a 3.8170
_cell_length_b 3.8170
_cell_length_c 32.2627
_cell_angle_alpha 90.00
_cell_angle_beta 90.00
_cell_angle_gamma 120.00
_space_group_name_H-M_alt 'R 3 m'
_space_group_IT_number 160
_space_group_name_Hall 'R 3 -2"'
loop_
_atom_site_label
_atom_site_type_symbol
_atom_site_fract_x
_atom_site_fract_y
_atom_site_fract_z
Ca1 Ca 0.0000 0.0000 0.0000
Ca2 Ca 0.0000 0.0000 0.1976
La1 La 0.0000 0.0000 0.4331
Zn1 Zn 0.0000 0.0000 0.5983
```

***

Here is a relaxed structure of NiHgTe2 from Alexandria. Energies are from PBE.

Summary:
ΔE_f (raw) = -120 meV/atom

```
data_NiHgTe2
_cell_length_a 3.8545
_cell_length_b 3.8545
_cell_length_c 27.8034
_cell_angle_alpha 90.00
_cell_angle_beta 90.00
_cell_angle_gamma 120.00
_space_group_name_H-M_alt 'R -3 m'
_space_group_IT_number 166
_space_group_name_Hall '-R 3 2"'
loop_
_atom_site_label
_atom_site_type_symbol
_atom_site_fract_x
_atom_site_fract_y
_atom_site_fract_z
Ni1 Ni 0.0000 0.0000 0.0000
Hg1 Hg 0.0000 0.0000 0.5000
Te1 Te 0.0000 0.0000 0.3805
```

***

Here is a relaxed structure of La2Th2Sb2C from Alexandria. Energies are from PBE.

Summary:
ΔE_f (raw) = -742 meV/atom

```
data_La2Th2Sb2C
_cell_length_a 4.9414
_cell_length_b 4.9414
_cell_length_c 17.0382
_cell_angle_alpha 90.00
_cell_angle_beta 90.00
_cell_angle_gamma 90.00
_space_group_name_H-M_alt 'I 4/m m m'
_space_group_IT_number 139
_space_group_name_Hall '-I 4 2'
loop_
_atom_site_label
_atom_site_type_symbol
_atom_site_fract_x
_atom_site_fract_y
_atom_site_fract_z
La1 La 0.0000 0.0000 0.1641
Th1 Th 0.0000 0.5000 0.0000
Sb1 Sb 0.0000 0.0000 0.3613
C1 C 0.0000 0.0000 0.0000
```